Entry 1:
Computed, not measured: SrNbO3 after structural relaxation at the PBE level of DFT.

Cell lengths 7.584, 7.584, 5.262 Å; angles 91.95, 91.95, 84.21 degrees
Sites, in units of the cell vectors:
Sr: 0.095 0.319 0.273
Sr: 0.319 0.095 0.773
Sr: 0.681 0.905 0.227
Sr: 0.905 0.681 0.727
Nb: 0.245 0.755 0.250
Nb: 0.402 0.598 0.750
Nb: 0.598 0.402 0.250
Nb: 0.755 0.245 0.750
O: 0.010 0.243 0.826
O: 0.185 0.575 0.540
O: 0.243 0.010 0.326
O: 0.331 0.482 0.082
O: 0.425 0.815 0.960
O: 0.482 0.331 0.582
O: 0.518 0.669 0.418
O: 0.575 0.185 0.040
O: 0.669 0.518 0.918
O: 0.757 0.990 0.674
O: 0.815 0.425 0.460
O: 0.990 0.757 0.174

- DOS(E_F) (states/eV/f.u.) = 0.0
- energy relative to the elements, uncorrected (eV/atom) = -2.609
- E_tot (eV per atom) = -7.93
- space-group type = C2/c, No. 15


Entry 2:
Computed, not measured: SrNb2O6 after structural relaxation at the PBE level of DFT.

Cell lengths 7.847, 5.656, 11.221 Å; angles 90.00, 90.32, 90.00 degrees
Sites, in units of the cell vectors:
Sr: 0.250 0.035 0.040
Sr: 0.250 0.465 0.540
Sr: 0.750 0.535 0.460
Sr: 0.750 0.965 0.960
Nb: 0.014 0.524 0.144
Nb: 0.014 0.976 0.644
Nb: 0.474 0.033 0.358
Nb: 0.474 0.467 0.858
Nb: 0.526 0.533 0.142
Nb: 0.526 0.967 0.642
Nb: 0.986 0.024 0.356
Nb: 0.986 0.476 0.856
O: 0.034 0.721 0.975
O: 0.034 0.779 0.475
O: 0.049 0.638 0.713
O: 0.049 0.862 0.213
O: 0.248 0.142 0.372
O: 0.248 0.358 0.872
O: 0.251 0.036 0.646
O: 0.251 0.464 0.146
O: 0.448 0.644 0.714
O: 0.448 0.856 0.214
O: 0.467 0.722 0.975
O: 0.467 0.778 0.475
O: 0.533 0.222 0.525
O: 0.533 0.278 0.025
O: 0.552 0.144 0.786
O: 0.552 0.356 0.286
O: 0.749 0.536 0.854
O: 0.749 0.964 0.354
O: 0.752 0.642 0.128
O: 0.752 0.858 0.628
O: 0.951 0.138 0.787
O: 0.951 0.362 0.287
O: 0.966 0.221 0.525
O: 0.966 0.279 0.025

- DOS(E_F) (states/eV/f.u.) = 0.0
- energy relative to the elements, uncorrected (eV/atom) = -2.780
- E_tot (eV per atom) = -8.51
- space-group type = P2_1/c, No. 14


Entry 3:
Computed, not measured: SrNb6O16 after structural relaxation at the PBE level of DFT.

Cell lengths 3.915, 9.179, 9.179 Å; angles 70.10, 90.00, 90.00 degrees
Sites, in units of the cell vectors:
Sr: 0.000 0.000 0.000
Nb: 0.500 0.018 0.657
Nb: 0.500 0.192 0.192
Nb: 0.500 0.396 0.771
Nb: 0.500 0.405 0.405
Nb: 0.500 0.657 0.018
Nb: 0.500 0.771 0.396
O: 0.000 0.032 0.691
O: 0.000 0.174 0.174
O: 0.000 0.395 0.395
O: 0.000 0.404 0.772
O: 0.000 0.691 0.032
O: 0.000 0.772 0.404
O: 0.500 0.163 0.412
O: 0.500 0.211 0.955
O: 0.500 0.253 0.637
O: 0.500 0.412 0.163
O: 0.500 0.541 0.541
O: 0.500 0.566 0.864
O: 0.500 0.637 0.253
O: 0.500 0.864 0.566
O: 0.500 0.887 0.887
O: 0.500 0.955 0.211

- DOS(E_F) (states/eV/f.u.) = 0.0
- energy relative to the elements, uncorrected (eV/atom) = -2.612
- E_tot (eV per atom) = -8.76
- space-group type = Amm2, No. 38


Entry 4:
Computed, not measured: SrNbO3 after structural relaxation at the PBE level of DFT.

Cell lengths 10.970, 10.970, 10.970 Å; angles 159.96, 159.96, 28.49 degrees
Sites, in units of the cell vectors:
Sr: 0.000 0.000 0.000
Sr: 0.750 0.250 0.500
Nb: 0.133 0.633 0.500
Nb: 0.367 0.867 0.500
O: 0.321 0.321 0.000
O: 0.363 0.111 0.252
O: 0.679 0.679 0.000
O: 0.859 0.111 0.748
O: 0.889 0.141 0.252
O: 0.889 0.637 0.748

- DOS(E_F) (states/eV/f.u.) = 2.8
- energy relative to the elements, uncorrected (eV/atom) = -1.542
- E_tot (eV per atom) = -6.87
- space-group type = I-4m2, No. 119


Entry 5:
Computed, not measured: Sr4Nb2O9 after structural relaxation at the PBE level of DFT.

Cell lengths 5.867, 5.885, 15.027 Å; angles 89.96, 88.57, 60.17 degrees
Sites, in units of the cell vectors:
Sr: 0.000 0.000 0.000
Sr: 0.001 0.026 0.472
Sr: 0.317 0.350 0.314
Sr: 0.338 0.328 0.806
Sr: 0.346 0.352 0.571
Sr: 0.656 0.672 0.901
Sr: 0.664 0.698 0.665
Sr: 0.684 0.668 0.157
Nb: 0.001 0.011 0.236
Nb: 0.001 0.012 0.736
Nb: 0.350 0.335 0.070
Nb: 0.652 0.687 0.401
O: 0.110 0.481 0.977
O: 0.117 0.211 0.148
O: 0.128 0.703 0.149
O: 0.204 0.944 0.854
O: 0.237 0.132 0.679
O: 0.253 0.652 0.689
O: 0.362 0.848 0.286
O: 0.412 0.577 0.441
O: 0.443 0.037 0.445
O: 0.562 0.986 0.027
O: 0.588 0.449 0.030
O: 0.641 0.186 0.186
O: 0.749 0.373 0.782
O: 0.765 0.894 0.793
O: 0.798 0.081 0.618
O: 0.872 0.332 0.322
O: 0.889 0.821 0.325
O: 0.891 0.542 0.495

- energy relative to the elements, uncorrected (eV/atom) = -2.835
- E_tot (eV per atom) = -7.60
- excess energy over the best structure of this formula in the dataset (eV/atom) = 0.042
- space-group type = P1, No. 1


Entry 6:
Computed, not measured: SrNbO4 after structural relaxation at the PBE level of DFT.

Cell lengths 4.125, 7.901, 6.946 Å; angles 90.00, 107.20, 90.00 degrees
Sites, in units of the cell vectors:
Sr: 0.067 0.250 0.133
Sr: 0.933 0.750 0.867
Nb: 0.194 0.750 0.387
Nb: 0.806 0.250 0.613
O: 0.106 0.566 0.212
O: 0.106 0.934 0.212
O: 0.294 0.250 0.590
O: 0.340 0.750 0.680
O: 0.660 0.250 0.320
O: 0.706 0.750 0.410
O: 0.894 0.066 0.788
O: 0.894 0.434 0.788

- DOS(E_F) (states/eV/f.u.) = 3.3
- energy relative to the elements, uncorrected (eV/atom) = -2.352
- E_tot (eV per atom) = -7.62
- space-group type = P2_1/m, No. 11


Entry 7:
Computed, not measured: Sr6Nb2O11 after structural relaxation at the PBE level of DFT.

Cell lengths 6.027, 6.030, 19.453 Å; angles 81.73, 82.44, 60.20 degrees
Sites, in units of the cell vectors:
Sr: 0.000 0.000 0.000
Sr: 0.028 0.081 0.816
Sr: 0.179 0.260 0.403
Sr: 0.226 0.360 0.220
Sr: 0.307 0.316 0.031
Sr: 0.391 0.440 0.689
Sr: 0.474 0.588 0.501
Sr: 0.525 0.635 0.318
Sr: 0.664 0.718 0.902
Sr: 0.693 0.795 0.719
Sr: 0.831 0.888 0.530
Sr: 0.873 0.045 0.189
Nb: 0.028 0.245 0.610
Nb: 0.342 0.399 0.860
Nb: 0.674 0.680 0.110
Nb: 0.849 0.957 0.360
O: 0.007 0.681 0.110
O: 0.054 0.517 0.795
O: 0.086 0.068 0.296
O: 0.093 0.670 0.925
O: 0.149 0.700 0.417
O: 0.161 0.062 0.529
O: 0.184 0.477 0.582
O: 0.217 0.106 0.691
O: 0.235 0.150 0.913
O: 0.442 0.649 0.803
O: 0.485 0.805 0.029
O: 0.518 0.042 0.138
O: 0.541 0.555 0.191
O: 0.542 0.204 0.306
O: 0.595 0.120 0.799
O: 0.622 0.845 0.423
O: 0.626 0.294 0.926
O: 0.697 0.578 0.610
O: 0.755 0.241 0.422
O: 0.797 0.089 0.637
O: 0.903 0.319 0.082
O: 0.924 0.691 0.294

- DOS(E_F) (states/eV/f.u.) = 0.0
- energy relative to the elements, uncorrected (eV/atom) = -2.847
- E_tot (eV per atom) = -7.31
- space-group type = P1, No. 1


Entry 8:
Computed, not measured: SrNb4O14 after structural relaxation at the PBE level of DFT.

Cell lengths 7.577, 7.577, 7.577 Å; angles 59.64, 59.64, 59.64 degrees
Sites, in units of the cell vectors:
Sr: 0.000 0.000 0.000
Nb: 0.000 0.500 0.500
Nb: 0.500 0.000 0.500
Nb: 0.500 0.500 0.000
Nb: 0.500 0.500 0.500
O: 0.150 0.150 0.150
O: 0.186 0.186 0.574
O: 0.186 0.574 0.186
O: 0.190 0.560 0.560
O: 0.426 0.814 0.814
O: 0.440 0.440 0.810
O: 0.440 0.810 0.440
O: 0.560 0.190 0.560
O: 0.560 0.560 0.190
O: 0.574 0.186 0.186
O: 0.810 0.440 0.440
O: 0.814 0.426 0.814
O: 0.814 0.814 0.426
O: 0.850 0.850 0.850

- DOS(E_F) (states/eV/f.u.) = 11.7
- energy relative to the elements, uncorrected (eV/atom) = -1.803
- E_tot (eV per atom) = -7.66
- space-group type = R-3m, No. 166